[1]
First-principles (GGA-PBE) data for a geometry-optimized CaScHgAu structure, as listed in Alexandria via LeMat-Bulk.

The structure in CIF format:
```
data_CaScHgAu
_cell_length_a 7.142
_cell_length_b 7.142
_cell_length_c 7.142
_cell_angle_alpha 90.00
_cell_angle_beta 90.00
_cell_angle_gamma 90.00
_space_group_name_H-M_alt 'F -4 3 m'
_space_group_IT_number 216
_space_group_name_Hall 'F -4 2 3'
loop_
_atom_site_label
_atom_site_type_symbol
_atom_site_fract_x
_atom_site_fract_y
_atom_site_fract_z
_atom_site_occupancy
Ca1 Ca 0.000 0.000 0.000 1
Sc1 Sc 0.000 0.000 0.500 1
Hg1 Hg 0.250 0.250 0.250 1
Au1 Au 0.250 0.250 0.750 1
```

## Properties
For the calculated density, the calculation gives 8.8 Mg/m³. The calculation puts the total energy at -3.5507 eV/atom.

[2]
First-principles (GGA-PBE) data for a geometry-optimized NpUMnNi structure, as listed in Alexandria via LeMat-Bulk.

The structure in CIF format:
```
data_NpUMnNi
_cell_length_a 6.285
_cell_length_b 6.285
_cell_length_c 6.285
_cell_angle_alpha 90.00
_cell_angle_beta 90.00
_cell_angle_gamma 90.00
_space_group_name_H-M_alt 'F -4 3 m'
_space_group_IT_number 216
_space_group_name_Hall 'F -4 2 3'
loop_
_atom_site_label
_atom_site_type_symbol
_atom_site_fract_x
_atom_site_fract_y
_atom_site_fract_z
_atom_site_occupancy
Np1 Np 0.000 0.000 0.000 1
U1 U 0.250 0.250 0.250 1
Mn1 Mn 0.000 0.000 0.500 1
Ni1 Ni 0.250 0.250 0.750 1
```

## Properties
For the calculated density, the calculation gives 15.7 Mg/m³. The calculation puts the total energy at -9.9420 eV/atom.

[3]
First-principles (GGA-PBE) data for a geometry-optimized RbLiHoCl6 structure, as listed in Alexandria via LeMat-Bulk.

The structure in CIF format:
```
data_RbLiHoCl6
_cell_length_a 6.694
_cell_length_b 11.655
_cell_length_c 7.555
_cell_angle_alpha 90.00
_cell_angle_beta 90.09
_cell_angle_gamma 90.00
_space_group_name_H-M_alt 'C 1 2 1'
_space_group_IT_number 5
loop_
_space_group_symop_operation_xyz
'x,y,z'
'-x,y,-z'
'x+1/2,y+1/2,z'
'-x+1/2,y+1/2,-z'
loop_
_atom_site_label
_atom_site_type_symbol
_atom_site_fract_x
_atom_site_fract_y
_atom_site_fract_z
_atom_site_occupancy
Rb1 Rb 0.000 0.000 0.000 1
Li1 Li 0.000 0.666 0.500 1
Ho1 Ho 0.000 0.334 0.500 1
Cl1 Cl 0.129 0.502 0.298 1
Cl2 Cl 0.181 0.814 0.298 1
Cl3 Cl 0.187 0.184 0.298 1
```

## Properties
For the calculated density, the calculation gives 2.6 Mg/m³. Its formation energy from raw total energies is -40.55 kcal/mol of atoms. The calculation puts the total energy at -3.8183 eV/atom.

[4]
First-principles (GGA-PBE) data for a geometry-optimized ReOsPt2F structure, as listed in Alexandria via LeMat-Bulk.

The structure in CIF format:
```
data_ReOsPt2F
_cell_length_a 4.397
_cell_length_b 4.397
_cell_length_c 3.976
_cell_angle_alpha 90.00
_cell_angle_beta 90.00
_cell_angle_gamma 90.00
_space_group_name_H-M_alt 'P 4/m m m'
_space_group_IT_number 123
_space_group_name_Hall '-P 4 2'
loop_
_atom_site_label
_atom_site_type_symbol
_atom_site_fract_x
_atom_site_fract_y
_atom_site_fract_z
_atom_site_occupancy
Re1 Re 0.000 0.000 0.000 1
Os1 Os 0.500 0.500 0.000 1
Pt1 Pt 0.000 0.500 0.500 1
F1 F 0.500 0.500 0.500 1
```

## Properties
For the calculated density, the calculation gives 17.0 Mg/m³. Its formation energy from raw total energies is 31.84 kcal/mol of atoms. The calculation puts the total energy at -6.1455 eV/atom.

[5]
First-principles (GGA-PBE) data for a geometry-optimized ErTmNp2Sb4 structure, as listed in Alexandria via LeMat-Bulk.

The structure in CIF format:
```
data_ErTmNp2Sb4
_cell_length_a 7.570
_cell_length_b 4.352
_cell_length_c 7.603
_cell_angle_alpha 90.00
_cell_angle_beta 109.19
_cell_angle_gamma 90.00
_space_group_name_H-M_alt 'P 1 2/m 1'
_space_group_IT_number 10
loop_
_space_group_symop_operation_xyz
'x,y,z'
'-x,-y,-z'
'-x,y,-z'
'x,-y,z'
loop_
_atom_site_label
_atom_site_type_symbol
_atom_site_fract_x
_atom_site_fract_y
_atom_site_fract_z
_atom_site_occupancy
Er1 Er 0.000 0.000 0.000 1
Tm1 Tm 0.000 0.500 0.500 1
Np1 Np 0.500 0.000 0.500 1
Np2 Np 0.500 0.500 0.000 1
Sb1 Sb 0.245 0.000 0.748 1
Sb2 Sb 0.246 0.500 0.249 1
```

## Properties
For the calculated density, the calculation gives 9.1 Mg/m³. Its formation energy from raw total energies is -14.17 kcal/mol of atoms. The calculation puts the total energy at -7.0400 eV/atom.

[6]
First-principles (GGA-PBE) data for a geometry-optimized BaLaPdO4 structure, as listed in Alexandria via LeMat-Bulk.

The structure in CIF format:
```
data_BaLaPdO4
_cell_length_a 4.141
_cell_length_b 4.141
_cell_length_c 12.653
_cell_angle_alpha 90.00
_cell_angle_beta 90.00
_cell_angle_gamma 90.00
_space_group_name_H-M_alt 'I 4 m m'
_space_group_IT_number 107
_space_group_name_Hall 'I 4 -2'
loop_
_atom_site_label
_atom_site_type_symbol
_atom_site_fract_x
_atom_site_fract_y
_atom_site_fract_z
_atom_site_occupancy
Ba1 Ba 0.000 0.000 0.000 1
La1 La 0.000 0.000 0.721 1
Pd1 Pd 0.000 0.000 0.361 1
O1 O 0.000 0.000 0.197 1
O2 O 0.000 0.000 0.537 1
O3 O 0.000 0.500 0.342 1
```

## Properties
For the calculated density, the calculation gives 6.8 Mg/m³. Its formation energy from raw total energies is -48.51 kcal/mol of atoms. The calculation puts the total energy at -6.6571 eV/atom.

[7]
First-principles (GGA-PBE) data for a geometry-optimized YCo2Ag structure, as listed in Alexandria via LeMat-Bulk.

The structure in CIF format:
```
data_YCo2Ag
_cell_length_a 4.122
_cell_length_b 4.122
_cell_length_c 3.824
_cell_angle_alpha 90.00
_cell_angle_beta 90.00
_cell_angle_gamma 90.00
_space_group_name_H-M_alt 'P 4/m m m'
_space_group_IT_number 123
_space_group_name_Hall '-P 4 2'
loop_
_atom_site_label
_atom_site_type_symbol
_atom_site_fract_x
_atom_site_fract_y
_atom_site_fract_z
_atom_site_occupancy
Y1 Y 0.000 0.000 0.000 1
Co1 Co 0.000 0.500 0.500 1
Ag1 Ag 0.500 0.500 0.000 1
```

## Properties
For the calculated density, the calculation gives 8.0 Mg/m³. The calculation puts the total energy at -5.7192 eV/atom. Its energy above the lowest structure with this stoichiometry is 50.8 meV per atom.

[8]
First-principles (GGA-PBE) data for a geometry-optimized LaPm4Pr2 structure, as listed in Alexandria via LeMat-Bulk.

The structure in CIF format:
```
data_LaPm4Pr2
_cell_length_a 7.102
_cell_length_b 10.656
_cell_length_c 7.121
_cell_angle_alpha 90.00
_cell_angle_beta 106.81
_cell_angle_gamma 90.00
_space_group_name_H-M_alt 'P 1 2/m 1'
_space_group_IT_number 10
loop_
_space_group_symop_operation_xyz
'x,y,z'
'-x,-y,-z'
'-x,y,-z'
'x,-y,z'
loop_
_atom_site_label
_atom_site_type_symbol
_atom_site_fract_x
_atom_site_fract_y
_atom_site_fract_z
_atom_site_occupancy
La1 La 0.000 0.000 0.000 1
La2 La 0.500 0.000 0.000 1
Pm1 Pm 0.230 0.218 0.689 1
Pm2 Pm 0.230 0.284 0.189 1
Pr1 Pr 0.000 0.500 0.500 1
Pr2 Pr 0.500 0.000 0.500 1
Pr3 Pr 0.500 0.500 0.000 1
Pr4 Pr 0.500 0.500 0.500 1
```

## Properties
For the calculated density, the calculation gives 6.4 Mg/m³. The calculation puts the total energy at -4.5962 eV/atom. Its energy above the lowest structure with this stoichiometry is 179.5 meV per atom.

[9]
First-principles (GGA-PBE) data for a geometry-optimized In2PW structure, as listed in Alexandria via LeMat-Bulk.

The structure in CIF format:
```
data_In2PW
_cell_length_a 3.998
_cell_length_b 3.998
_cell_length_c 9.342
_cell_angle_alpha 90.00
_cell_angle_beta 90.00
_cell_angle_gamma 90.00
_space_group_name_H-M_alt 'I 4/m m m'
_space_group_IT_number 139
_space_group_name_Hall '-I 4 2'
loop_
_atom_site_label
_atom_site_type_symbol
_atom_site_fract_x
_atom_site_fract_y
_atom_site_fract_z
_atom_site_occupancy
In1 In 0.000 0.500 0.250 1
P1 P 0.000 0.000 0.000 1
W1 W 0.000 0.000 0.500 1
```

## Properties
For the calculated density, the calculation gives 9.9 Mg/m³. The calculation puts the total energy at -5.1918 eV/atom.

[10]
First-principles (GGA-PBE) data for a geometry-optimized Li2PmMgHg2 structure, as listed in Alexandria via LeMat-Bulk.

The structure in CIF format:
```
data_Li2PmMgHg2
_cell_length_a 4.7116
_cell_length_b 4.7116
_cell_length_c 6.8795
_cell_angle_alpha 90.00
_cell_angle_beta 90.00
_cell_angle_gamma 120.00
_space_group_name_H-M_alt 'P -3 m 1'
_space_group_IT_number 164
_space_group_name_Hall '-P 3 2"'
loop_
_atom_site_label
_atom_site_type_symbol
_atom_site_fract_x
_atom_site_fract_y
_atom_site_fract_z
_atom_site_occupancy
Li1 Li 0.3333 0.6667 0.1747 1
Pm1 Pm 0.0000 0.0000 0.5000 1
Mg1 Mg 0.0000 0.0000 0.0000 1
Hg1 Hg 0.3333 0.6667 0.7560 1
```

## Properties
For the calculated density, the calculation gives 7.3 Mg/m³. The calculation puts the total energy at -2.1342 eV/atom.

[11]
First-principles (GGA-PBE) data for a geometry-optimized BaLaOs2 structure, as listed in Alexandria via LeMat-Bulk.

The structure in CIF format:
```
data_BaLaOs2
_cell_length_a 7.297
_cell_length_b 7.297
_cell_length_c 7.297
_cell_angle_alpha 90.00
_cell_angle_beta 90.00
_cell_angle_gamma 90.00
_space_group_name_H-M_alt 'F m -3 m'
_space_group_IT_number 225
_space_group_name_Hall '-F 4 2 3'
loop_
_atom_site_label
_atom_site_type_symbol
_atom_site_fract_x
_atom_site_fract_y
_atom_site_fract_z
_atom_site_occupancy
Ba1 Ba 0.000 0.000 0.000 1
La1 La 0.000 0.000 0.500 1
Os1 Os 0.250 0.250 0.250 1
```

## Properties
For the calculated density, the calculation gives 11.2 Mg/m³. The calculation puts the total energy at -6.3766 eV/atom. Its energy above the lowest structure with this stoichiometry is 856.3 meV per atom.

[12]
First-principles (GGA-PBE) data for a geometry-optimized HfGa2SnN structure, as listed in Alexandria via LeMat-Bulk.

The structure in CIF format:
```
data_HfGa2SnN
_cell_length_a 4.992
_cell_length_b 4.992
_cell_length_c 5.514
_cell_angle_alpha 90.00
_cell_angle_beta 90.00
_cell_angle_gamma 90.00
_space_group_name_H-M_alt 'P 4/m m m'
_space_group_IT_number 123
_space_group_name_Hall '-P 4 2'
loop_
_atom_site_label
_atom_site_type_symbol
_atom_site_fract_x
_atom_site_fract_y
_atom_site_fract_z
_atom_site_occupancy
Hf1 Hf 0.000 0.000 0.000 1
Ga1 Ga 0.000 0.500 0.500 1
Sn1 Sn 0.000 0.000 0.500 1
N1 N 0.500 0.500 0.000 1
```

## Properties
For the calculated density, the calculation gives 5.4 Mg/m³. Its formation energy from raw total energies is 42.90 kcal/mol of atoms. The calculation puts the total energy at -3.8068 eV/atom.

[13]
First-principles (GGA-PBE) data for a geometry-optimized FeTeWN2 structure, as listed in Alexandria via LeMat-Bulk.

The structure in CIF format:
```
data_FeTeWN2
_cell_length_a 3.906
_cell_length_b 3.906
_cell_length_c 5.735
_cell_angle_alpha 90.00
_cell_angle_beta 90.00
_cell_angle_gamma 90.00
_space_group_name_H-M_alt 'P 4/m m m'
_space_group_IT_number 123
_space_group_name_Hall '-P 4 2'
loop_
_atom_site_label
_atom_site_type_symbol
_atom_site_fract_x
_atom_site_fract_y
_atom_site_fract_z
_atom_site_occupancy
Fe1 Fe 0.000 0.000 0.000 1
Te1 Te 0.500 0.500 0.000 1
W1 W 0.500 0.500 0.500 1
N1 N 0.000 0.500 0.500 1
```

## Properties
For the calculated density, the calculation gives 7.5 Mg/m³. Its formation energy from raw total energies is 14.94 kcal/mol of atoms. The calculation puts the total energy at -7.5938 eV/atom. Its energy above the lowest structure with this stoichiometry is 0.0 meV per atom.

[14]
First-principles (GGA-PBE) data for a geometry-optimized RhW2Se structure, as listed in Alexandria via LeMat-Bulk.

The structure in CIF format:
```
data_RhW2Se
_cell_length_a 2.940
_cell_length_b 2.940
_cell_length_c 7.424
_cell_angle_alpha 90.00
_cell_angle_beta 90.00
_cell_angle_gamma 90.00
_space_group_name_H-M_alt 'P 4 m m'
_space_group_IT_number 99
loop_
_space_group_symop_operation_xyz
'x,y,z'
'-y,x,z'
'-x,-y,z'
'y,-x,z'
'-x,y,z'
'y,x,z'
'x,-y,z'
'-y,-x,z'
loop_
_atom_site_label
_atom_site_type_symbol
_atom_site_fract_x
_atom_site_fract_y
_atom_site_fract_z
_atom_site_occupancy
Rh1 Rh 0.000 0.000 0.000 1
W1 W 0.000 0.000 0.495 1
W2 W 0.500 0.500 0.770 1
Se1 Se 0.500 0.500 0.278 1
```

## Properties
For the calculated density, the calculation gives 14.2 Mg/m³. Its formation energy from raw total energies is 3.34 kcal/mol of atoms. The calculation puts the total energy at -9.0407 eV/atom.

[15]
First-principles (GGA-PBE) data for a geometry-optimized RbUNi2Te4 structure, as listed in Alexandria via LeMat-Bulk.

The structure in CIF format:
```
data_RbUNi2Te4
_cell_length_a 6.331
_cell_length_b 7.836
_cell_length_c 8.794
_cell_angle_alpha 90.00
_cell_angle_beta 90.00
_cell_angle_gamma 90.00
_space_group_name_H-M_alt 'I 2 2 2'
_space_group_IT_number 23
loop_
_space_group_symop_operation_xyz
'x,y,z'
'-x,-y,z'
'x,-y,-z'
'-x,y,-z'
'x+1/2,y+1/2,z+1/2'
'-x+1/2,-y+1/2,z+1/2'
'x+1/2,-y+1/2,-z+1/2'
'-x+1/2,y+1/2,-z+1/2'
loop_
_atom_site_label
_atom_site_type_symbol
_atom_site_fract_x
_atom_site_fract_y
_atom_site_fract_z
_atom_site_occupancy
Rb1 Rb 0.000 0.000 0.000 1
U1 U 0.000 0.000 0.500 1
Ni1 Ni 0.000 0.500 0.144 1
Te1 Te 0.215 0.248 0.268 1
```

## Properties
For the calculated density, the calculation gives 7.2 Mg/m³. Its formation energy from raw total energies is -3.45 kcal/mol of atoms. The calculation puts the total energy at -4.6976 eV/atom.

[16]
First-principles (GGA-PBE) data for a geometry-optimized PuScSi2 structure, as listed in Alexandria via LeMat-Bulk.

The structure in CIF format:
```
data_PuScSi2
_cell_length_a 6.754
_cell_length_b 6.754
_cell_length_c 6.754
_cell_angle_alpha 90.00
_cell_angle_beta 90.00
_cell_angle_gamma 90.00
_space_group_name_H-M_alt 'F m -3 m'
_space_group_IT_number 225
_space_group_name_Hall '-F 4 2 3'
loop_
_atom_site_label
_atom_site_type_symbol
_atom_site_fract_x
_atom_site_fract_y
_atom_site_fract_z
_atom_site_occupancy
Pu1 Pu 0.000 0.000 0.000 1
Sc1 Sc 0.000 0.000 0.500 1
Si1 Si 0.250 0.250 0.250 1
```

## Properties
For the calculated density, the calculation gives 7.4 Mg/m³. Its formation energy from raw total energies is -8.96 kcal/mol of atoms. The calculation puts the total energy at -8.2657 eV/atom. Its energy above the lowest structure with this stoichiometry is 192.5 meV per atom.

[17]
First-principles (GGA-PBE) data for a geometry-optimized TaVB structure, as listed in Alexandria via LeMat-Bulk.

The structure in CIF format:
```
data_TaVB
_cell_length_a 10.715
_cell_length_b 3.261
_cell_length_c 6.276
_cell_angle_alpha 90.00
_cell_angle_beta 90.00
_cell_angle_gamma 90.00
_space_group_name_H-M_alt 'P m m a'
_space_group_IT_number 51
loop_
_space_group_symop_operation_xyz
'x,y,z'
'-x,-y,-z'
'-x+1/2,-y,z'
'x+1/2,y,-z'
'x+1/2,-y,-z'
'-x+1/2,y,z'
'-x,y,-z'
'x,-y,z'
loop_
_atom_site_label
_atom_site_type_symbol
_atom_site_fract_x
_atom_site_fract_y
_atom_site_fract_z
_atom_site_occupancy
Ta1 Ta 0.047 0.000 0.232 1
Ta2 Ta 0.250 0.000 0.857 1
V1 V 0.125 0.500 0.571 1
V2 V 0.250 0.500 0.202 1
B1 B 0.086 0.500 0.949 1
B2 B 0.250 0.000 0.450 1
```

## Properties
For the calculated density, the calculation gives 11.0 Mg/m³. The calculation puts the total energy at -9.7555 eV/atom. Its energy above the lowest structure with this stoichiometry is 42.2 meV per atom.